The following is a GGA-PBE calculation of a relaxed Mg3Co4Si4 crystal, from Alexandria via LeMat-Bulk.

Computed properties:
The total energy comes out at -59.07 eV per formula unit. The energy relative to the elements, uncorrected is -36.6 kJ/mol of atoms.

Cell and atoms, written as POSCAR:
```
Mg3Co4Si4
1.0
0.068 0.067 -5.979
-1.991 -5.305 1.912
-3.614 4.324 2.001
Si Mg Co
4 3 4
Cartesian
0.042 0.042 -3.724 Si
-2.089 -0.345 -0.780 Si
-2.250 2.693 1.246 Si
-1.240 -3.304 1.190 Si
-0.961 -2.619 -2.034 Mg
-2.802 -0.491 1.956 Mg
-1.773 2.195 -1.989 Mg
-0.951 1.137 0.526 Co
-4.080 -0.674 -1.523 Co
0.018 0.018 -1.573 Co
-0.524 -1.395 0.503 Co
```